A:
Here is an optimized crystal structure of YHoAsO from OQMD via LeMat-Bulk. Energies are from GGA-PBE.

The structure in POSCAR format:
```
YHoAsO
1.0
-0.7920 3.7489 -2.0276
-3.1362 0.8839 2.8592
5.8263 4.0159 5.1493
As Ho O Y
2 2 2 2
Direct
0.7500 0.7500 0.2955
0.2500 0.2500 0.7045
0.7500 0.2500 0.5000
0.2500 0.7500 0.5000
0.7500 0.2500 0.0000
0.2500 0.7500 0.0000
0.2500 0.2500 0.1015
0.7500 0.7500 0.8985
```

Results
Total magnetic moment: 0.001 μB per formula unit

---

B:
Here is an optimized crystal structure of YHoAsO from OQMD via LeMat-Bulk. Energies are from GGA-PBE.

The structure in POSCAR format:
```
YHoAsO
1.0
4.1311 0.0000 0.0000
0.0000 7.6901 0.0000
0.0000 0.0000 5.8206
As Ho O Y
2 2 2 2
Direct
0.0000 0.8480 0.4319
0.0000 0.1520 0.9319
0.0000 0.2142 0.4395
0.0000 0.7858 0.9395
0.5000 0.3284 0.3830
0.5000 0.6716 0.8830
0.5000 0.6170 0.4997
0.5000 0.3830 0.9997
```

Results
Total magnetic moment: 0.011 μB per formula unit

---

C:
Here is an optimized crystal structure of YHoAsO from OQMD via LeMat-Bulk. Energies are from GGA-PBE.

The structure in POSCAR format:
```
YHoAsO
1.0
4.3353 0.0000 0.0000
0.0000 4.3353 0.0000
0.0000 0.0000 8.7265
As Ho O Y
2 2 2 2
Direct
0.0000 0.5000 0.2925
0.5000 0.0000 0.7075
0.5000 0.0000 0.0968
0.0000 0.5000 0.9032
0.0000 0.0000 0.0000
0.5000 0.5000 0.0000
0.0000 0.0000 0.5000
0.5000 0.5000 0.5000
```

Results
Total magnetic moment: 0.008 μB per formula unit

---

From most stable to least stable, the computed energies give B, C, A.

---

A:
Here is an optimized crystal structure of HoZrAsO from OQMD via LeMat-Bulk. Energies are from GGA-PBE.

The structure in POSCAR format:
```
HoZrAsO
1.0
-2.4523 2.3940 -1.9283
2.4547 -2.7826 -6.5764
-4.0787 -4.0306 0.1831
As Ho O Zr
2 2 2 2
Direct
0.0000 0.8474 0.4463
0.0000 0.1526 0.9463
0.0000 0.2248 0.4505
0.0000 0.7752 0.9505
0.5000 0.3397 0.3662
0.5000 0.6603 0.8662
0.5000 0.6096 0.4910
0.5000 0.3904 0.9910
```

Results
Total magnetic moment: 0.006 μB per formula unit

---

B:
Here is an optimized crystal structure of HoZrAsO from OQMD via LeMat-Bulk. Energies are from GGA-PBE.

The structure in POSCAR format:
```
HoZrAsO
1.0
-2.9977 -0.7678 2.5905
-1.0945 -3.1925 -2.2128
5.2902 -5.0246 4.6325
As Ho O Zr
2 2 2 2
Direct
0.0000 0.5000 0.2661
0.5000 0.0000 0.7339
0.0000 0.0000 0.5000
0.5000 0.5000 0.5000
0.0000 0.0000 0.0000
0.5000 0.5000 0.0000
0.5000 0.0000 0.1215
0.0000 0.5000 0.8785
```

Results
Total magnetic moment: 0.007 μB per formula unit

---

C:
Here is an optimized crystal structure of HoZrAsO from OQMD via LeMat-Bulk. Energies are from GGA-PBE.

The structure in POSCAR format:
```
HoZrAsO
1.0
-2.5197 -3.0535 1.2577
3.2934 -2.2068 1.2403
-0.5137 3.6895 7.9287
As Ho O Zr
2 2 2 2
Direct
0.7500 0.7500 0.2991
0.2500 0.2500 0.7009
0.2500 0.2500 0.1113
0.7500 0.7500 0.8887
0.7500 0.2500 0.0000
0.2500 0.7500 0.0000
0.7500 0.2500 0.5000
0.2500 0.7500 0.5000
```

Results
Total magnetic moment: 0.005 μB per formula unit

---

From most stable to least stable, the computed energies give C, A, B.

---

A:
Here is an optimized crystal structure of NbInAsO from OQMD via LeMat-Bulk. Energies are from GGA-PBE.

The structure in POSCAR format:
```
NbInAsO
1.0
-1.7240 -2.3401 -0.6035
-1.2483 -1.3404 8.7629
-4.8274 3.5921 -0.1382
As In Nb O
2 2 2 2
Direct
0.0000 0.3439 0.3759
0.0000 0.6561 0.8759
0.0000 0.6526 0.4172
0.0000 0.3474 0.9172
0.5000 0.8667 0.0903
0.5000 0.1333 0.5903
0.5000 0.9826 0.3706
0.5000 0.0174 0.8706
```

Results
Total magnetic moment: 0.013 μB per formula unit

---

B:
Here is an optimized crystal structure of NbInAsO from OQMD via LeMat-Bulk. Energies are from GGA-PBE.

The structure in POSCAR format:
```
NbInAsO
1.0
3.8350 0.0000 0.0000
0.0000 8.3738 0.0000
0.0000 0.0000 5.2123
As In Nb O
2 2 2 2
Direct
0.0000 0.3133 0.4133
0.0000 0.6867 0.9133
0.5000 0.9204 0.0044
0.5000 0.0796 0.5044
0.0000 0.6196 0.4159
0.0000 0.3804 0.9159
0.5000 0.6682 0.4204
0.5000 0.3318 0.9204
```

Results
Total magnetic moment: 0.003 μB per formula unit

---

C:
Here is an optimized crystal structure of NbInAsO from OQMD via LeMat-Bulk. Energies are from GGA-PBE.

The structure in POSCAR format:
```
NbInAsO
1.0
-1.4168 0.6754 -3.3701
-1.9954 -3.1296 0.2117
-7.8427 5.2952 4.3583
As In Nb O
2 2 2 2
Direct
0.7500 0.7500 0.2391
0.2500 0.2500 0.7609
0.7500 0.2500 0.5000
0.2500 0.7500 0.5000
0.2500 0.2500 0.1111
0.7500 0.7500 0.8889
0.7500 0.2500 0.0000
0.2500 0.7500 0.0000
```

Results
Total magnetic moment: 0.571 μB per formula unit

---

D:
Here is an optimized crystal structure of NbInAsO from OQMD via LeMat-Bulk. Energies are from GGA-PBE.

The structure in POSCAR format:
```
NbInAsO
1.0
3.7335 0.0000 0.0000
0.0000 3.7335 0.0000
0.0000 0.0000 10.1704
As In Nb O
2 2 2 2
Direct
0.0000 0.5000 0.2408
0.5000 0.0000 0.7592
0.0000 0.0000 0.5000
0.5000 0.5000 0.5000
0.5000 0.0000 0.1116
0.0000 0.5000 0.8884
0.0000 0.0000 0.0000
0.5000 0.5000 0.0000
```

Results
Total magnetic moment: 0.539 μB per formula unit

---

From most stable to least stable, the computed energies give B, A, C, D.

---

A:
Here is an optimized crystal structure of PrInAsO from OQMD via LeMat-Bulk. Energies are from GGA-PBE.

The structure in POSCAR format:
```
PrInAsO
1.0
4.5544 0.0000 0.0000
0.0000 4.5544 0.0000
0.0000 0.0000 8.4030
As In O Pr
2 2 2 2
Direct
0.7500 0.7500 0.2824
0.2500 0.2500 0.7176
0.2500 0.2500 0.0797
0.7500 0.7500 0.9203
0.7500 0.2500 0.0000
0.2500 0.7500 0.0000
0.7500 0.2500 0.5000
0.2500 0.7500 0.5000
```

Results
Total magnetic moment: 0.000 μB per formula unit

---

B:
Here is an optimized crystal structure of PrInAsO from OQMD via LeMat-Bulk. Energies are from GGA-PBE.

The structure in POSCAR format:
```
PrInAsO
1.0
4.6093 0.0000 0.0000
0.0000 4.6093 0.0000
0.0000 0.0000 8.3040
As In O Pr
2 2 2 2
Direct
0.0000 0.5000 0.2842
0.5000 0.0000 0.7158
0.5000 0.0000 0.0744
0.0000 0.5000 0.9256
0.0000 0.0000 0.0000
0.5000 0.5000 0.0000
0.0000 0.0000 0.5000
0.5000 0.5000 0.5000
```

Results
Total magnetic moment: 0.004 μB per formula unit

---

From most stable to least stable, the computed energies give B, A.

---

A:
Here is an optimized crystal structure of PrInAsO from OQMD via LeMat-Bulk. Energies are from GGA-PBE.

The structure in POSCAR format:
```
PrInAsO
1.0
-2.4759 -2.6656 3.6347
1.4076 -4.5376 -2.3688
5.6159 -0.1844 3.6902
As In O Pr
2 2 2 2
Direct
0.0000 0.7666 0.3241
0.0000 0.2334 0.8241
0.0000 0.2607 0.4269
0.0000 0.7393 0.9269
0.5000 0.3298 0.4227
0.5000 0.6702 0.9227
0.5000 0.2933 0.0803
0.5000 0.7067 0.5803
```

Results
Total magnetic moment: 0.004 μB per formula unit

---

B:
Here is an optimized crystal structure of PrInAsO from OQMD via LeMat-Bulk. Energies are from GGA-PBE.

The structure in POSCAR format:
```
PrInAsO
1.0
-1.3882 -2.7564 3.0390
1.2660 -5.7311 -4.6198
5.7819 -0.4921 2.1948
As In O Pr
2 2 2 2
Direct
0.0000 0.3043 0.4150
0.0000 0.6957 0.9150
0.5000 0.8881 0.0172
0.5000 0.1119 0.5172
0.5000 0.8235 0.3954
0.5000 0.1765 0.8954
0.0000 0.7023 0.4263
0.0000 0.2977 0.9263
```

Results
Total magnetic moment: 0.005 μB per formula unit

---

From most stable to least stable, the computed energies give A, B.

---

A:
Here is an optimized crystal structure of SmInAsO from OQMD via LeMat-Bulk. Energies are from GGA-PBE.

The structure in POSCAR format:
```
SmInAsO
1.0
5.1706 0.0000 0.0000
0.0000 5.4579 0.0000
0.0000 0.0000 6.5239
As In O Sm
2 2 2 2
Direct
0.0000 0.7662 0.3403
0.0000 0.2338 0.8403
0.0000 0.2577 0.4281
0.0000 0.7423 0.9281
0.5000 0.3397 0.4133
0.5000 0.6603 0.9133
0.5000 0.3072 0.0723
0.5000 0.6928 0.5723
```

Results
Total magnetic moment: 0.004 μB per formula unit

---

B:
Here is an optimized crystal structure of SmInAsO from OQMD via LeMat-Bulk. Energies are from GGA-PBE.

The structure in POSCAR format:
```
SmInAsO
1.0
-0.4719 -2.4595 3.3249
-2.4539 -2.5273 -2.2178
7.8281 -5.2002 -2.7356
As In O Sm
2 2 2 2
Direct
0.7500 0.7500 0.2840
0.2500 0.2500 0.7160
0.7500 0.2500 0.5000
0.2500 0.7500 0.5000
0.7500 0.2500 0.0000
0.2500 0.7500 0.0000
0.2500 0.2500 0.1101
0.7500 0.7500 0.8899
```

Results
Total magnetic moment: 0.147 μB per formula unit

---

C:
Here is an optimized crystal structure of SmInAsO from OQMD via LeMat-Bulk. Energies are from GGA-PBE.

The structure in POSCAR format:
```
SmInAsO
1.0
-0.1216 -2.2398 -3.9112
4.3963 -0.9211 0.3908
-1.8477 -7.0753 4.1092
As In O Sm
2 2 2 2
Direct
0.0000 0.5000 0.2886
0.5000 0.0000 0.7114
0.5000 0.0000 0.0850
0.0000 0.5000 0.9150
0.0000 0.0000 0.0000
0.5000 0.5000 0.0000
0.0000 0.0000 0.5000
0.5000 0.5000 0.5000
```

Results
Total magnetic moment: 0.008 μB per formula unit

---

D:
Here is an optimized crystal structure of SmInAsO from OQMD via LeMat-Bulk. Energies are from GGA-PBE.

The structure in POSCAR format:
```
SmInAsO
1.0
-1.5993 -3.8169 0.5574
3.5449 -0.4930 6.7952
-4.8298 2.4173 2.6950
As In O Sm
2 2 2 2
Direct
0.0000 0.8148 0.4193
0.0000 0.1852 0.9193
0.5000 0.3916 0.0100
0.5000 0.6084 0.5100
0.5000 0.3131 0.3985
0.5000 0.6869 0.8985
0.0000 0.1933 0.4262
0.0000 0.8067 0.9262
```

Results
Total magnetic moment: 0.009 μB per formula unit

---

From most stable to least stable, the computed energies give B, A, D, C.

---

A:
Here is an optimized crystal structure of TbInAsO from OQMD via LeMat-Bulk. Energies are from GGA-PBE.

The structure in POSCAR format:
```
TbInAsO
1.0
-0.4802 3.8628 1.3103
-7.4511 -1.4150 1.4408
1.3844 -1.6926 5.4972
As In O Tb
2 2 2 2
Direct
0.0000 0.3216 0.4216
0.0000 0.6784 0.9216
0.5000 0.8901 0.0032
0.5000 0.1099 0.5032
0.5000 0.8046 0.4025
0.5000 0.1954 0.9025
0.0000 0.6928 0.4267
0.0000 0.3072 0.9267
```

Results
Total magnetic moment: 0.000 μB per formula unit

---

B:
Here is an optimized crystal structure of TbInAsO from OQMD via LeMat-Bulk. Energies are from GGA-PBE.

The structure in POSCAR format:
```
TbInAsO
1.0
-1.5029 -5.2844 -0.4732
5.5497 -1.5009 -0.8644
0.7108 -0.7232 5.8192
As In O Tb
2 2 2 2
Direct
0.0000 0.2738 0.4067
0.0000 0.7262 0.9067
0.0000 0.7692 0.4239
0.0000 0.2308 0.9239
0.5000 0.8554 0.3899
0.5000 0.1446 0.8899
0.5000 0.8110 0.0335
0.5000 0.1890 0.5335
```

Results
Total magnetic moment: 0.000 μB per formula unit

---

From most stable to least stable, the computed energies give B, A.

---

A:
Here is an optimized crystal structure of TbInAsO from OQMD via LeMat-Bulk. Energies are from GGA-PBE.

The structure in POSCAR format:
```
TbInAsO
1.0
4.4596 0.0000 0.0000
0.0000 4.4596 0.0000
0.0000 0.0000 8.3724
As In O Tb
2 2 2 2
Direct
0.5000 0.0000 0.2956
0.0000 0.5000 0.7044
0.0000 0.5000 0.0922
0.5000 0.0000 0.9078
0.0000 0.0000 0.0000
0.5000 0.5000 0.0000
0.0000 0.0000 0.5000
0.5000 0.5000 0.5000
```

Results
Total magnetic moment: 0.006 μB per formula unit

---

B:
Here is an optimized crystal structure of TbInAsO from OQMD via LeMat-Bulk. Energies are from GGA-PBE.

The structure in POSCAR format:
```
TbInAsO
1.0
-1.2153 -3.2772 -2.1372
0.0683 -2.2554 3.4196
-9.3473 2.3387 1.7293
As In O Tb
2 2 2 2
Direct
0.0000 0.5000 0.2792
0.5000 0.0000 0.7208
0.0000 0.0000 0.5000
0.5000 0.5000 0.5000
0.0000 0.0000 0.0000
0.5000 0.5000 0.0000
0.5000 0.0000 0.1055
0.0000 0.5000 0.8945
```

Results
Total magnetic moment: 0.032 μB per formula unit

---

From most stable to least stable, the computed energies give B, A.

---

A:
Here is an optimized crystal structure of InTcAsO from OQMD via LeMat-Bulk. Energies are from GGA-PBE.

The structure in POSCAR format:
```
InTcAsO
1.0
3.7406 0.0000 0.0000
0.0000 6.9088 0.0000
0.0000 0.0000 6.5053
As In O Tc
2 2 2 2
Direct
0.0000 0.3938 0.3110
0.0000 0.6062 0.8110
0.5000 0.8640 0.0382
0.5000 0.1360 0.5382
0.5000 0.7330 0.4472
0.5000 0.2670 0.9472
0.0000 0.7137 0.4576
0.0000 0.2863 0.9576
```

Results
Total magnetic moment: 0.002 μB per formula unit

---

B:
Here is an optimized crystal structure of InTcAsO from OQMD via LeMat-Bulk. Energies are from GGA-PBE.

The structure in POSCAR format:
```
InTcAsO
1.0
3.0890 0.0000 0.0000
0.0000 7.9474 0.0000
0.0000 0.0000 5.7815
As In O Tc
2 2 2 2
Direct
0.0000 0.6827 0.3593
0.0000 0.3173 0.8593
0.0000 0.1020 0.4203
0.0000 0.8980 0.9203
0.5000 0.3181 0.3662
0.5000 0.6819 0.8662
0.5000 0.4910 0.1082
0.5000 0.5090 0.6082
```

Results
Total magnetic moment: 0.005 μB per formula unit

---

From most stable to least stable, the computed energies give B, A.